Record 1
The following is a DFT calculation (PBE) of a relaxed structure of K2BPb.

abc: 8.021 8.021 8.021
angles: 90.00 90.00 90.00
Space group Fm-3m (No. 225)
Symmetry-distinct sites (fractional):
1 K 0.250 0.250 0.250 x8
2 B 0.000 0.000 0.000 x4
3 Pb 0.000 0.000 0.500 x4

Values from the calculation:
Magnetic moment ... 0.0 μB per cell
Energy of formation ... 1.0559 eV per atom

Record 2
The following is a DFT calculation (PBE) of a relaxed structure of KBPb3.

abc: 5.312 5.312 5.312
angles: 90.00 90.00 90.00
Space group Pm-3m (No. 221)
Symmetry-distinct sites (fractional):
1 K 0.000 0.000 0.000 x1
2 B 0.500 0.500 0.500 x1
3 Pb 0.000 0.500 0.500 x3

Values from the calculation:
Magnetic moment ... 0.0 μB per cell
Energy of formation ... 0.5231 eV per atom

Record 3
The following is a DFT calculation (PBE) of a relaxed structure of K2BPb.

abc: 12.466 12.466 4.650
angles: 90.00 90.00 90.00
Space group I-42d (No. 122)
Symmetry-distinct sites (fractional):
1 K 0.038 0.250 0.125 x8
2 B 0.000 0.000 0.000 x4
3 Pb 0.000 0.000 0.500 x4

Values from the calculation:
Magnetic moment ... 0.0 μB per cell
Energy of formation ... 0.5908 eV per atom

Record 4
The following is a DFT calculation (PBE) of a relaxed structure of KBPb3.

abc: 5.985 5.985 5.985
angles: 90.00 90.00 90.00
Space group Pm-3m (No. 221)
Symmetry-distinct sites (fractional):
1 K 0.000 0.000 0.000 x1
2 B 0.500 0.500 0.500 x1
3 Pb 0.000 0.000 0.500 x3

Values from the calculation:
Magnetic moment ... 0.0 μB per cell
Energy of formation ... 1.8680 eV per atom

Record 5
The following is a DFT calculation (PBE) of a relaxed structure of KB3Pb.

abc: 4.926 4.926 4.926
angles: 90.00 90.00 90.00
Space group Pm-3m (No. 221)
Symmetry-distinct sites (fractional):
1 K 0.000 0.000 0.000 x1
2 B 0.000 0.000 0.500 x3
3 Pb 0.500 0.500 0.500 x1

Values from the calculation:
Magnetic moment ... 0.6 μB per cell
Energy of formation ... 2.9465 eV per atom

Record 6
The following is a DFT calculation (PBE) of a relaxed structure of KBPb2.

abc: 7.508 7.508 7.508
angles: 90.00 90.00 90.00
Space group Fm-3m (No. 225)
Symmetry-distinct sites (fractional):
1 K 0.000 0.000 0.000 x4
2 B 0.000 0.000 0.500 x4
3 Pb 0.250 0.250 0.250 x8

Values from the calculation:
Magnetic moment ... 0.0 μB per cell
Energy of formation ... 0.9749 eV per atom